(1)
A plane-wave DFT calculation with PBE-GGA was carried out for a relaxed NbNiW3 crystal.

```
NbNiW3
1.0
-4.4818 0.5104 1.4133
-0.4132 -4.6932 0.3843
1.4447 0.2408 4.4943
Ni Nb W
1 1 3
Direct
0.5000 0.5000 0.5000
0.0000 0.0000 0.0000
0.0000 0.5000 0.0000
0.0000 0.0000 0.5000
0.5000 0.0000 0.0000
```

Summary:
The density of states at the Fermi level comes out at 6.32 states/eV per cell. The theoretical density comes out at 11.05 g/cm³.

---

(2)
A plane-wave DFT calculation with PBE-GGA was carried out for a relaxed NbNiW3 crystal.

```
NbNiW3
1.0
-0.9307 -3.5519 2.5704
1.0746 -2.7324 -3.3865
4.2507 -0.0869 1.4190
Ni Nb W
1 1 3
Direct
0.0000 0.0000 0.0000
0.5000 0.5000 0.5000
0.0000 0.5000 0.0000
0.0000 0.0000 0.5000
0.5000 0.0000 0.0000
```

Summary:
The density of states at the Fermi level comes out at 7.89 states/eV per cell. The theoretical density comes out at 12.97 g/cm³.

---

Stability check: which of them is most stable? (2).

---

(1)
A plane-wave DFT calculation with PBE-GGA was carried out for a relaxed YNbNi3 crystal.

```
YNbNi3
1.0
-2.0647 3.9426 1.0940
-1.8307 -1.9861 3.7024
3.6591 1.2310 2.4696
Y Ni Nb
1 3 1
Direct
0.0000 0.0000 0.0000
0.0000 0.5000 0.0000
0.0000 0.0000 0.5000
0.5000 0.0000 0.0000
0.5000 0.5000 0.5000
```

Summary:
The density of states at the Fermi level comes out at 4.07 states/eV per cell. The theoretical density comes out at 6.17 g/cm³.

---

(2)
A plane-wave DFT calculation with PBE-GGA was carried out for a relaxed YNbNi3 crystal.

```
YNbNi3
1.0
4.5863 0.0000 0.0000
0.0000 4.5863 0.0000
0.0000 0.0000 4.5863
Y Ni Nb
1 3 1
Direct
0.5000 0.5000 0.5000
0.0000 0.5000 0.0000
0.0000 0.0000 0.5000
0.5000 0.0000 0.0000
0.0000 0.0000 0.0000
```

Summary:
The density of states at the Fermi level comes out at 4.46 states/eV per cell. The theoretical density comes out at 6.16 g/cm³.

---

Stability check: which of them is most stable? (2).

---

(1)
A plane-wave DFT calculation with PBE-GGA was carried out for a relaxed Y3NbNi crystal.

```
Y3NbNi
1.0
5.3329 0.0000 0.0000
0.0000 5.3329 0.0000
0.0000 0.0000 5.3329
Y Ni Nb
3 1 1
Direct
0.0000 0.5000 0.0000
0.0000 0.0000 0.5000
0.5000 0.0000 0.0000
0.5000 0.5000 0.5000
0.0000 0.0000 0.0000
```

Summary:
The density of states at the Fermi level comes out at 3.10 states/eV per cell. The theoretical density comes out at 4.58 g/cm³.

---

(2)
A plane-wave DFT calculation with PBE-GGA was carried out for a relaxed Y3NbNi crystal.

```
Y3NbNi
1.0
5.1894 0.0000 0.0000
0.0000 5.1894 0.0000
0.0000 0.0000 5.1894
Y Ni Nb
3 1 1
Direct
0.0000 0.5000 0.0000
0.0000 0.0000 0.5000
0.5000 0.0000 0.0000
0.0000 0.0000 0.0000
0.5000 0.5000 0.5000
```

Summary:
The density of states at the Fermi level comes out at 6.83 states/eV per cell. The theoretical density comes out at 4.97 g/cm³.

---

Stability check: which of them is most stable? (2).

---

(1)
A plane-wave DFT calculation with PBE-GGA was carried out for a relaxed YNb2Ni crystal.

```
YNb2Ni
1.0
4.7657 0.0000 0.0000
0.0000 4.7657 0.0000
2.3828 2.3828 8.8169
Y Ni Nb
2 2 4
Direct
0.0000 0.0000 0.0000
0.7500 0.2500 0.5000
0.5000 0.5000 0.0000
0.2500 0.7500 0.5000
0.3748 0.1250 0.2500
0.3752 0.6250 0.2500
0.3750 0.6252 0.7500
0.8750 0.6248 0.7500
```

Summary:
The density of states at the Fermi level comes out at 13.12 states/eV per cell. The theoretical density comes out at 5.53 g/cm³.

---

(2)
A plane-wave DFT calculation with PBE-GGA was carried out for a relaxed YNb2Ni crystal.

```
YNb2Ni
1.0
-0.0562 -3.3258 -3.2822
-1.3076 -4.3488 1.1024
-4.0741 -1.6798 -1.5547
Y Ni Nb
1 1 2
Direct
0.5000 0.5000 0.5000
0.0000 0.0000 0.0000
0.2500 0.2500 0.2500
0.7500 0.7500 0.7500
```

Summary:
The density of states at the Fermi level comes out at 5.38 states/eV per cell. The theoretical density comes out at 7.67 g/cm³.

---

Stability check: which of them is most stable? (2).

---

(1)
A plane-wave DFT calculation with PBE-GGA was carried out for a relaxed YNb2Ni2 crystal.

```
YNb2Ni2
1.0
7.4167 0.0000 0.0000
0.0000 7.4167 0.0000
0.0000 0.0000 3.1268
Y Ni Nb
2 4 4
Direct
0.0000 0.0000 0.0000
0.5000 0.5000 0.0000
0.3805 0.8805 0.0000
0.8805 0.6195 0.0000
0.6195 0.1195 0.0000
0.1195 0.3805 0.0000
0.1663 0.6663 0.5000
0.6663 0.8337 0.5000
0.8337 0.3337 0.5000
0.3337 0.1663 0.5000
```

Summary:
The density of states at the Fermi level comes out at 13.34 states/eV per cell. The theoretical density comes out at 7.57 g/cm³.

---

(2)
A plane-wave DFT calculation with PBE-GGA was carried out for a relaxed YNb2Ni2 crystal.

```
YNb2Ni2
1.0
7.8381 0.0000 0.0000
0.0000 7.8381 0.0000
0.0000 0.0000 2.7849
Y Ni Nb
2 4 4
Direct
0.0000 0.0000 0.0000
0.5000 0.5000 0.0000
0.1738 0.6738 0.5000
0.6738 0.8262 0.5000
0.8262 0.3262 0.5000
0.3262 0.1738 0.5000
0.3772 0.8772 0.0000
0.8772 0.6228 0.0000
0.6228 0.1228 0.0000
0.1228 0.3772 0.0000
```

Summary:
The density of states at the Fermi level comes out at 12.24 states/eV per cell. The theoretical density comes out at 7.61 g/cm³.

---

Stability check: which of them is most stable? (1).

---

(1)
A plane-wave DFT calculation with PBE-GGA was carried out for a relaxed YNb2Ni2 crystal.

```
YNb2Ni2
1.0
3.9978 0.0000 0.0000
0.0000 3.9978 0.0000
1.9989 1.9989 5.6887
Y Ni Nb
1 2 2
Direct
0.0000 0.0000 0.0000
0.3982 0.3982 0.2035
0.6018 0.6018 0.7965
0.7500 0.2500 0.5000
0.2500 0.7500 0.5000
```

Summary:
The density of states at the Fermi level comes out at 7.03 states/eV per cell. The theoretical density comes out at 7.16 g/cm³.

---

(2)
A plane-wave DFT calculation with PBE-GGA was carried out for a relaxed YNb2Ni2 crystal.

```
YNb2Ni2
1.0
4.5441 0.0000 0.0000
0.0000 4.5441 0.0000
2.2720 2.2720 4.6588
Y Ni Nb
1 2 2
Direct
0.0000 0.0000 0.0000
0.7500 0.2500 0.5000
0.2500 0.7500 0.5000
0.3526 0.3526 0.2948
0.6474 0.6474 0.7052
```

Summary:
The density of states at the Fermi level comes out at 8.85 states/eV per cell. The theoretical density comes out at 6.77 g/cm³.

---

Stability check: which of them is most stable? (1).

---

(1)
A plane-wave DFT calculation with PBE-GGA was carried out for a relaxed NbZnNi3 crystal.

```
NbZnNi3
1.0
4.5375 0.0000 0.0000
0.0000 4.5375 0.0000
0.0000 0.0000 4.5375
Ni Nb Zn
3 1 1
Direct
0.0000 0.5000 0.0000
0.0000 0.0000 0.5000
0.5000 0.0000 0.0000
0.0000 0.0000 0.0000
0.5000 0.5000 0.5000
```

Summary:
The density of states at the Fermi level comes out at 5.14 states/eV per cell. The theoretical density comes out at 5.94 g/cm³.

---

(2)
A plane-wave DFT calculation with PBE-GGA was carried out for a relaxed NbZnNi3 crystal.

```
NbZnNi3
1.0
-1.1587 -2.0044 3.5712
2.3944 -3.3424 -1.0991
3.3222 1.7099 2.0376
Ni Nb Zn
3 1 1
Direct
0.0000 0.5000 0.0000
0.0000 0.0000 0.5000
0.5000 0.0000 0.0000
0.5000 0.5000 0.5000
0.0000 0.0000 0.0000
```

Summary:
The density of states at the Fermi level comes out at 4.94 states/eV per cell. The theoretical density comes out at 7.20 g/cm³.

---

(3)
A plane-wave DFT calculation with PBE-GGA was carried out for a relaxed NbZnNi3 crystal.

```
NbZnNi3
1.0
-0.3471 2.9439 -2.9046
-4.1858 -0.2704 0.2262
2.2111 4.2890 7.0409
Nb Zn Ni
2 2 6
Direct
0.1332 0.3844 0.7688
0.8668 0.6156 0.2312
0.3711 0.1212 0.2424
0.6289 0.8788 0.7576
0.7841 0.0341 0.0681
0.2159 0.9659 0.9319
0.4591 0.7074 0.4147
0.5409 0.2926 0.5853
0.0443 0.7932 0.5863
0.9557 0.2068 0.4137
```

Summary:
The density of states at the Fermi level comes out at 12.25 states/eV per cell. The theoretical density comes out at 7.95 g/cm³.

---

Stability check: which of them is most stable? (3).

---

(1)
A plane-wave DFT calculation with PBE-GGA was carried out for a relaxed NbZn2Ni2 crystal.

```
NbZn2Ni2
1.0
-6.3203 2.2119 -2.2564
1.3387 -2.6963 -6.3928
-1.0993 -2.3604 0.7653
Ni Nb Zn
4 2 4
Direct
0.3722 0.8722 0.0000
0.8722 0.6278 0.0000
0.6278 0.1278 0.0000
0.1278 0.3722 0.0000
0.0000 0.0000 0.0000
0.5000 0.5000 0.0000
0.1682 0.6682 0.5000
0.6682 0.8318 0.5000
0.8318 0.3318 0.5000
0.3318 0.1682 0.5000
```

Summary:
The density of states at the Fermi level comes out at 12.87 states/eV per cell. The theoretical density comes out at 8.36 g/cm³.

---

(2)
A plane-wave DFT calculation with PBE-GGA was carried out for a relaxed NbZn2Ni2 crystal.

```
NbZn2Ni2
1.0
-2.4520 1.0282 -0.7409
-0.8887 -2.5223 -0.5592
-3.4749 -2.1449 8.5230
Nb Zn Ni
1 2 2
Direct
0.0000 0.0000 0.0000
0.0000 0.1875 0.6249
0.0000 0.8125 0.3751
0.5000 0.3990 0.2020
0.5000 0.6010 0.7980
```

Summary:
The density of states at the Fermi level comes out at 3.10 states/eV per cell. The theoretical density comes out at 8.03 g/cm³.

---

Stability check: which of them is most stable? (2).

---

(1)
A plane-wave DFT calculation with PBE-GGA was carried out for a relaxed Nb2ZnNi crystal.

```
Nb2ZnNi
1.0
-1.2556 -0.3752 -2.4516
0.9192 -1.9569 -1.7474
-6.2140 -7.3295 2.7281
Ni Nb Zn
1 2 1
Direct
0.0000 0.0000 0.0000
0.0846 0.0846 0.7462
0.9154 0.9154 0.2538
0.5000 0.5000 0.5000
```

Summary:
The density of states at the Fermi level comes out at 3.97 states/eV per cell. The theoretical density comes out at 7.80 g/cm³.

---

(2)
A plane-wave DFT calculation with PBE-GGA was carried out for a relaxed Nb2ZnNi crystal.

```
Nb2ZnNi
1.0
-2.8593 -2.8065 1.9310
-4.3560 0.3426 -0.8301
-2.0514 -3.1076 -2.4322
Ni Nb Zn
1 2 1
Direct
0.0000 0.0000 0.0000
0.2500 0.2500 0.2500
0.7500 0.7500 0.7500
0.5000 0.5000 0.5000
```

Summary:
The density of states at the Fermi level comes out at 4.33 states/eV per cell. The theoretical density comes out at 8.27 g/cm³.

---

(3)
A plane-wave DFT calculation with PBE-GGA was carried out for a relaxed Nb2ZnNi crystal.

```
Nb2ZnNi
1.0
-0.7747 -2.6249 2.8404
0.6237 -2.9454 -2.5518
3.8191 -0.0520 0.9935
Ni Nb Zn
1 2 1
Direct
0.5000 0.5000 0.5000
0.0000 0.0000 0.5000
0.0000 0.5000 0.0000
0.5000 0.0000 0.0000
```

Summary:
The density of states at the Fermi level comes out at 4.61 states/eV per cell. The theoretical density comes out at 8.38 g/cm³.

---

Stability check: which of them is most stable? (3).